{"formula": "Cs2Te3", "functional": "PBE-GGA", "state": "optimized geometry", "lattice_angstrom": [[7.606, -0.025, 0.000], [-2.689, 7.115, 0.000], [0.000, 0.000, 8.715]], "species": ["Cs", "Te", "Te", "Cs", "Cs", "Cs", "Te", "Te", "Te", "Te"], "fractional_positions": [[0.910, 0.090, 0.368], [0.085, 0.423, 0.005], [0.577, 0.915, 0.005], [0.585, 0.415, 0.151], [0.415, 0.585, 0.651], [0.090, 0.910, 0.868], [0.783, 0.217, 0.810], [0.217, 0.783, 0.310], [0.915, 0.577, 0.505], [0.423, 0.085, 0.505]], "total_magnetization_mub_per_fu": 0.00, "raw_formation_energy_ev_per_atom": -0.76, "e_tot_ev_per_cell": -29.85, "volume_a3_per_atom": 47.10}